(1)
The following is a PBE calculation of an optimized crystal structure of TmAl10Co3, from the Alexandria database.

Output
Magnetic moment ... 0.00 μB/cell
Formation enthalpy at 0 K ... -257 meV per atom

The structure in CIF format:
```
data_TmAl10Co3
_cell_length_a 8.680
_cell_length_b 8.680
_cell_length_c 8.680
_cell_angle_alpha 60.00
_cell_angle_beta 60.00
_cell_angle_gamma 60.00
_space_group_name_H-M_alt 'P 1'
_space_group_IT_number 1
loop_
_space_group_symop_operation_xyz
'x,y,z'
loop_
_atom_site_label
_atom_site_type_symbol
_atom_site_fract_x
_atom_site_fract_y
_atom_site_fract_z
_atom_site_occupancy
Tm1 Tm 0.250 0.250 0.250 1
Tm2 Tm 0.750 0.750 0.750 1
Al1 Al 0.000 0.000 0.334 1
Al2 Al 0.000 0.334 0.000 1
Al3 Al 0.334 0.000 0.000 1
Al4 Al 0.666 0.334 0.000 1
Al5 Al 0.391 0.391 0.391 1
Al6 Al 0.173 0.609 0.609 1
Al7 Al 0.391 0.827 0.391 1
Al8 Al 0.666 0.000 0.334 1
Al9 Al 0.391 0.391 0.827 1
Al10 Al 0.827 0.391 0.391 1
Al11 Al 0.609 0.609 0.173 1
Al12 Al 0.000 0.000 0.666 1
Al13 Al 0.334 0.666 0.000 1
Al14 Al 0.000 0.666 0.334 1
Al15 Al 0.000 0.334 0.666 1
Al16 Al 0.666 0.000 0.000 1
Al17 Al 0.609 0.609 0.609 1
Al18 Al 0.000 0.666 0.000 1
Al19 Al 0.609 0.173 0.609 1
Al20 Al 0.334 0.000 0.666 1
Co1 Co 0.735 0.735 0.265 1
Co2 Co 0.735 0.265 0.735 1
Co3 Co 0.265 0.735 0.735 1
Co4 Co 0.265 0.265 0.735 1
Co5 Co 0.735 0.265 0.265 1
Co6 Co 0.265 0.735 0.265 1
```



(2)
The following is a PBE calculation of an optimized crystal structure of Tm8AlCo2, from the Alexandria database.

Output
Magnetic moment ... 0.00 μB/cell
Formation enthalpy at 0 K ... -124 meV per atom

The structure in CIF format:
```
data_Tm8AlCo2
_cell_length_a 5.189
_cell_length_b 7.701
_cell_length_c 7.701
_cell_angle_alpha 112.71
_cell_angle_beta 97.55
_cell_angle_gamma 97.55
_space_group_name_H-M_alt 'P 1'
_space_group_IT_number 1
loop_
_space_group_symop_operation_xyz
'x,y,z'
loop_
_atom_site_label
_atom_site_type_symbol
_atom_site_fract_x
_atom_site_fract_y
_atom_site_fract_z
_atom_site_occupancy
Tm1 Tm 0.925 0.934 0.672 1
Tm2 Tm 0.925 0.672 0.934 1
Tm3 Tm 0.304 0.618 0.618 1
Tm4 Tm 0.500 0.752 0.248 1
Tm5 Tm 0.500 0.248 0.752 1
Tm6 Tm 0.696 0.382 0.382 1
Tm7 Tm 0.075 0.328 0.066 1
Tm8 Tm 0.075 0.066 0.328 1
Al1 Al 0.500 0.000 0.000 1
Co1 Co 0.000 0.311 0.689 1
Co2 Co 0.000 0.689 0.311 1
```



(3)
The following is a PBE calculation of an optimized crystal structure of Tm3Al3Co2, from the Alexandria database.

Output
Magnetic moment ... 0.00 μB/cell
Formation enthalpy at 0 K ... -436 meV per atom

The structure in CIF format:
```
data_Tm3Al3Co2
_cell_length_a 5.663
_cell_length_b 7.335
_cell_length_c 14.837
_cell_angle_alpha 90.00
_cell_angle_beta 90.00
_cell_angle_gamma 90.00
_space_group_name_H-M_alt 'P 1'
_space_group_IT_number 1
loop_
_space_group_symop_operation_xyz
'x,y,z'
loop_
_atom_site_label
_atom_site_type_symbol
_atom_site_fract_x
_atom_site_fract_y
_atom_site_fract_z
_atom_site_occupancy
Tm1 Tm 0.105 0.467 0.392 1
Tm2 Tm 0.605 0.033 0.608 1
Tm3 Tm 0.895 0.533 0.892 1
Tm4 Tm 0.395 0.967 0.108 1
Tm5 Tm 0.895 0.533 0.608 1
Tm6 Tm 0.395 0.967 0.392 1
Tm7 Tm 0.105 0.467 0.108 1
Tm8 Tm 0.605 0.033 0.892 1
Tm9 Tm 0.637 0.331 0.250 1
Tm10 Tm 0.137 0.169 0.750 1
Tm11 Tm 0.363 0.669 0.750 1
Tm12 Tm 0.863 0.831 0.250 1
Al1 Al 0.121 0.175 0.250 1
Al2 Al 0.621 0.325 0.750 1
Al3 Al 0.879 0.825 0.750 1
Al4 Al 0.379 0.675 0.250 1
Al5 Al 0.597 0.338 0.464 1
Al6 Al 0.097 0.162 0.536 1
Al7 Al 0.403 0.662 0.964 1
Al8 Al 0.903 0.838 0.036 1
Al9 Al 0.403 0.662 0.536 1
Al10 Al 0.903 0.838 0.464 1
Al11 Al 0.597 0.338 0.036 1
Al12 Al 0.097 0.162 0.964 1
Co1 Co 0.875 0.135 0.392 1
Co2 Co 0.375 0.365 0.608 1
Co3 Co 0.125 0.865 0.892 1
Co4 Co 0.625 0.635 0.108 1
Co5 Co 0.125 0.865 0.608 1
Co6 Co 0.625 0.635 0.392 1
Co7 Co 0.875 0.135 0.108 1
Co8 Co 0.375 0.365 0.892 1
```



(4)
The following is a PBE calculation of an optimized crystal structure of YTmAlCo, from the Alexandria database.

Output
Magnetic moment ... 0.97 μB/cell
Formation enthalpy at 0 K ... -225 meV per atom

The structure in CIF format:
```
data_YTmAlCo
_cell_length_a 4.928
_cell_length_b 4.928
_cell_length_c 4.928
_cell_angle_alpha 60.00
_cell_angle_beta 60.00
_cell_angle_gamma 60.00
_space_group_name_H-M_alt 'P 1'
_space_group_IT_number 1
loop_
_space_group_symop_operation_xyz
'x,y,z'
loop_
_atom_site_label
_atom_site_type_symbol
_atom_site_fract_x
_atom_site_fract_y
_atom_site_fract_z
_atom_site_occupancy
Y1 Y 0.250 0.250 0.250 1
Tm1 Tm 0.750 0.750 0.750 1
Co1 Co 0.500 0.500 0.500 1
Al1 Al 0.000 0.000 0.000 1
```



(5)
The following is a PBE calculation of an optimized crystal structure of TmAlZnCo, from the Alexandria database.

Output
Magnetic moment ... 0.80 μB/cell
Formation enthalpy at 0 K ... -261 meV per atom

The structure in CIF format:
```
data_TmAlZnCo
_cell_length_a 4.517
_cell_length_b 4.517
_cell_length_c 4.517
_cell_angle_alpha 60.00
_cell_angle_beta 60.00
_cell_angle_gamma 60.00
_space_group_name_H-M_alt 'P 1'
_space_group_IT_number 1
loop_
_space_group_symop_operation_xyz
'x,y,z'
loop_
_atom_site_label
_atom_site_type_symbol
_atom_site_fract_x
_atom_site_fract_y
_atom_site_fract_z
_atom_site_occupancy
Zn1 Zn 0.000 0.000 0.000 1
Tm1 Tm 0.750 0.750 0.750 1
Co1 Co 0.500 0.500 0.500 1
Al1 Al 0.250 0.250 0.250 1
```



(6)
The following is a PBE calculation of an optimized crystal structure of TmZrAlCo, from the Alexandria database.

Output
Magnetic moment ... 1.03 μB/cell
Formation enthalpy at 0 K ... -212 meV per atom

The structure in CIF format:
```
data_TmZrAlCo
_cell_length_a 4.782
_cell_length_b 4.782
_cell_length_c 4.782
_cell_angle_alpha 60.00
_cell_angle_beta 60.00
_cell_angle_gamma 60.00
_space_group_name_H-M_alt 'P 1'
_space_group_IT_number 1
loop_
_space_group_symop_operation_xyz
'x,y,z'
loop_
_atom_site_label
_atom_site_type_symbol
_atom_site_fract_x
_atom_site_fract_y
_atom_site_fract_z
_atom_site_occupancy
Tm1 Tm 0.250 0.250 0.250 1
Co1 Co 0.500 0.500 0.500 1
Al1 Al 0.000 0.000 0.000 1
Zr1 Zr 0.750 0.750 0.750 1
```



(7)
The following is a PBE calculation of an optimized crystal structure of UAl4Co, from the Alexandria database.

Output
Magnetic moment ... 5.80 μB/cell
Formation enthalpy at 0 K ... -319 meV per atom

The structure in CIF format:
```
data_UAl4Co
_cell_length_a 9.136
_cell_length_b 9.136
_cell_length_c 4.101
_cell_angle_alpha 90.00
_cell_angle_beta 90.00
_cell_angle_gamma 120.00
_space_group_name_H-M_alt 'P 1'
_space_group_IT_number 1
loop_
_space_group_symop_operation_xyz
'x,y,z'
loop_
_atom_site_label
_atom_site_type_symbol
_atom_site_fract_x
_atom_site_fract_y
_atom_site_fract_z
_atom_site_occupancy
U1 U 0.000 0.409 0.000 1
U2 U 0.591 0.591 0.000 1
U3 U 0.409 0.000 0.000 1
Al1 Al 0.000 0.743 0.000 1
Al2 Al 0.257 0.257 0.000 1
Al3 Al 0.743 0.000 0.000 1
Al4 Al 0.000 0.169 0.500 1
Al5 Al 0.831 0.831 0.500 1
Al6 Al 0.169 0.000 0.500 1
Al7 Al 0.296 0.480 0.500 1
Al8 Al 0.184 0.704 0.500 1
Al9 Al 0.520 0.816 0.500 1
Al10 Al 0.816 0.520 0.500 1
Al11 Al 0.704 0.184 0.500 1
Al12 Al 0.480 0.296 0.500 1
Co1 Co 0.667 0.333 0.000 1
Co2 Co 0.333 0.667 0.000 1
Co3 Co 0.000 0.000 0.000 1
```



(8)
The following is a PBE calculation of an optimized crystal structure of U2AlCo, from the Alexandria database.

Output
Magnetic moment ... 1.82 μB/cell
Formation enthalpy at 0 K ... 383 meV per atom

The structure in CIF format:
```
data_U2AlCo
_cell_length_a 2.861
_cell_length_b 2.861
_cell_length_c 10.582
_cell_angle_alpha 82.23
_cell_angle_beta 82.23
_cell_angle_gamma 60.00
_space_group_name_H-M_alt 'P 1'
_space_group_IT_number 1
loop_
_space_group_symop_operation_xyz
'x,y,z'
loop_
_atom_site_label
_atom_site_type_symbol
_atom_site_fract_x
_atom_site_fract_y
_atom_site_fract_z
_atom_site_occupancy
Co1 Co 0.500 0.500 0.500 1
U1 U 0.094 0.094 0.717 1
U2 U 0.906 0.906 0.283 1
Al1 Al 0.000 0.000 0.000 1
```